[1]
Computed, not measured: a relaxed structure of Sr2V4Te2H2O17 at the PBEsol level of DFT.

Cell: 10.7649 10.7649 16.2319 Å, 117.48 117.48 26.91°
Closest atoms and distances in Å follow each position.
Atoms (fractional coordinates):
Sr1 0.1383 0.8267 0.6185  7 O 2.47-2.75
Sr2 0.1733 0.8617 0.8815  7 O 2.47-2.75
Sr3 0.8267 0.1383 0.1185  7 O 2.47-2.75
Sr4 0.8617 0.1733 0.3815  7 O 2.47-2.75
V1 0.1962 0.4507 0.0121  2 O 1.63-1.68
V2 0.2390 0.5012 0.3582  4 O 1.66-1.75
V3 0.4507 0.1962 0.5121  2 O 1.63-1.68
V4 0.4988 0.7610 0.1418  4 O 1.66-1.75
V5 0.5012 0.2390 0.8582  4 O 1.66-1.75
V6 0.5493 0.8038 0.4879  2 O 1.63-1.68
V7 0.7610 0.4988 0.6418  4 O 1.66-1.75
V8 0.8038 0.5493 0.9879  2 O 1.63-1.68
Te1 0.0649 0.2722 0.3145  3 O 1.86-2.06
Te2 0.2722 0.0649 0.8145  3 O 1.86-2.06
Te3 0.7278 0.9351 0.1855  3 O 1.86-2.06
Te4 0.9351 0.7278 0.6855  3 O 1.86-2.06
H1 0.3083 0.6084 0.2300  1 O 1.00
H2 0.3916 0.6917 0.2700  1 O 1.00
H3 0.6084 0.3083 0.7300  1 O 1.00
H4 0.6917 0.3916 0.7700  1 O 1.00
O1 0.0087 0.3614 0.7403  1 V 1.75
O2 0.0491 0.1031 0.7808  1 H 1.75, 1 Te 1.86
O3 0.0614 0.7151 0.0227  1 V 1.63
O4 0.0666 0.3668 0.9277  2 V 1.92-2.00, 1 Te 2.06
O5 0.1031 0.0491 0.2808  1 H 1.75, 1 Te 1.86
O6 0.1693 0.7253 0.4320  1 V 1.66
O7 0.2292 0.5525 0.8214  1 V 1.72
O8 0.2441 0.4774 0.5926  1 V 1.68
O9 0.2452 0.3850 0.4094  2 V 1.74-1.87
O10 0.2747 0.8307 0.0680  1 V 1.66
O11 0.2849 0.9386 0.4773  1 V 1.63
O12 0.3614 0.0087 0.2403  1 V 1.75
O13 0.3668 0.0666 0.4277  2 V 1.92-2.00, 1 Te 2.06
O14 0.3850 0.2452 0.9094  2 V 1.74-1.87
O15 0.4475 0.7708 0.6786  1 V 1.72
O16 0.4774 0.2441 0.0926  1 V 1.68
O17 0.4779 0.5221 0.2500  2 H 1.00
O18 0.5221 0.4779 0.7500  2 H 1.00
O19 0.5226 0.7559 0.9074  1 V 1.68
O20 0.5525 0.2292 0.3214  1 V 1.72
O21 0.6150 0.7548 0.0906  2 V 1.74-1.87
O22 0.6332 0.9334 0.5723  2 V 1.92-2.00, 1 Te 2.06
O23 0.6386 0.9913 0.7597  1 V 1.75
O24 0.7151 0.0614 0.5227  1 V 1.63
O25 0.7253 0.1693 0.9320  1 V 1.66
O26 0.7548 0.6150 0.5906  2 V 1.74-1.87
O27 0.7559 0.5226 0.4074  1 V 1.68
O28 0.7708 0.4475 0.1786  1 V 1.72
O29 0.8307 0.2747 0.5680  1 V 1.66
O30 0.8969 0.9509 0.7192  1 H 1.75, 1 Te 1.86
O31 0.9334 0.6332 0.0723  2 V 1.92-2.00, 1 Te 2.06
O32 0.9386 0.2849 0.9773  1 V 1.63
O33 0.9509 0.8969 0.2192  1 H 1.75, 1 Te 1.86
O34 0.9913 0.6386 0.2597  1 V 1.75

## Properties
total energy = -7.4733 eV/atom
crystal system = monoclinic

***

[2]
Computed, not measured: a relaxed structure of Sr2YHO at the PBEsol level of DFT.

Cell: 4.4324 4.4324 6.1991 Å, 90.00 90.00 90.00°
Closest atoms and distances in Å follow each position.
Atoms (fractional coordinates):
Sr1 0.0000 0.5000 0.0000  2 H 2.22
Sr2 0.5000 0.0000 0.0000  2 H 2.22
Y1 0.0000 0.0000 0.5000  4 O 3.13
H1 0.5000 0.5000 0.0000  4 Sr 2.22
O1 0.5000 0.5000 0.5000  2 H 3.10, 4 Y 3.13

## Properties
total energy = -3.7891 eV/atom
crystal system = tetragonal

***

[3]
Computed, not measured: a relaxed structure of SrZnH6O5 at the PBEsol level of DFT.

Cell: 5.9819 6.3686 7.5790 Å, 90.75 113.22 106.58°
Closest atoms and distances in Å follow each position.
Atoms (fractional coordinates):
Sr1 0.1859 0.3940 0.2454  7 O 2.51-2.64, 1 H 2.65
Sr2 0.8141 0.6060 0.7546  7 O 2.51-2.64, 1 H 2.65
Zn1 0.1328 0.2374 0.7318  4 O 1.92-1.99
Zn2 0.8672 0.7626 0.2682  4 O 1.92-1.99
H1 0.3069 0.0388 0.0602  1 O 1.05
H2 0.3137 0.8192 0.5310  1 O 0.98
H3 0.3212 0.9418 0.8175  1 O 1.00
H4 0.3332 0.9743 0.2794  1 O 1.03
H5 0.3730 0.5955 0.9446  1 O 0.98
H6 0.4369 0.2272 0.5954  1 O 0.99
H7 0.5631 0.7728 0.4046  1 O 0.99
H8 0.6270 0.4045 0.0554  1 O 0.98
H9 0.6668 0.0257 0.7206  1 O 1.03
H10 0.6788 0.0582 0.1825  1 O 1.00
H11 0.6863 0.1808 0.4690  1 O 0.98
H12 0.6931 0.9612 0.9398  1 O 1.05
O1 0.1820 0.9701 0.8450  1 H 1.00
O2 0.2136 0.4855 0.9324  1 H 0.98
O3 0.2322 0.7857 0.3886  1 H 0.98
O4 0.3451 0.3340 0.5938  1 H 0.99
O5 0.4019 0.0976 0.2101  2 H 1.03-1.05
O6 0.5981 0.9024 0.7899  2 H 1.03-1.05
O7 0.6549 0.6660 0.4062  1 H 0.99
O8 0.7678 0.2143 0.6114  1 H 0.98
O9 0.7864 0.5145 0.0676  1 H 0.98
O10 0.8180 0.0299 0.1550  1 H 1.00

## Properties
total energy = -5.2414 eV/atom
crystal system = triclinic